[1]
Entry from the Alexandria database: a geometry-optimized Tl2Sn2H structure (PBE).

Calculated values
Calculated total energy in eV per cell: -29.54
Spin magnetization in Bohr magnetons per cell: 0.00
SG: P4/mbm, No. 127
Fermi-level density of states in states/eV per atom: 0.458

Cell: 6.3869 6.3869 6.1256 Å, 90.00 90.00 90.00°
Fractional positions:
Tl 0.1765 0.3235 0.0000
Tl 0.3235 0.8235 0.0000
Tl 0.6765 0.1765 0.0000
Tl 0.8235 0.6765 0.0000
Sn 0.2493 0.2507 0.5000
Sn 0.2507 0.7507 0.5000
Sn 0.7493 0.2493 0.5000
Sn 0.7507 0.7493 0.5000
H 0.0000 0.0000 0.0000
H 0.5000 0.5000 0.0000

***

[2]
Entry from the Alexandria database: a geometry-optimized La3As2N structure (PBE).

Calculated values
Spin magnetization in Bohr magnetons per cell: 0.00
SG: Cmmm, No. 65
Raw formation energy in eV/atom: -1.1423
Fermi-level density of states in states/eV per atom: 0.233

Cell: 7.4439 7.4439 4.1233 Å, 90.00 90.00 132.69°
Fractional positions:
La 0.0000 0.0000 0.0000
La 0.3739 0.6261 0.5000
La 0.6261 0.3739 0.5000
As 0.1566 0.8434 0.5000
As 0.8434 0.1566 0.5000
N 0.5000 0.5000 0.0000

***

[3]
Entry from the Alexandria database: a geometry-optimized TlSi2PI structure (PBE).

Calculated values
Spin magnetization in Bohr magnetons per cell: 0.00
SG: P4/mmm, No. 123
Raw formation energy in eV/atom: 0.5479
Fermi-level density of states in states/eV per atom: 0.752

Cell: 4.6661 4.6661 6.5365 Å, 90.00 90.00 90.00°
Fractional positions:
Tl 0.0000 0.0000 0.0000
Si 0.0000 0.5000 0.5000
Si 0.5000 0.0000 0.5000
P 0.0000 0.0000 0.5000
I 0.5000 0.5000 0.0000